Entry 1:
A plane-wave DFT calculation with PBE was carried out for a relaxed structure of TcBi2PS.

Cell and atoms, written as POSCAR:
```
TcBi2PS
1.0
5.4618 0.0000 0.0000
0.0000 5.4618 0.0000
0.0000 0.0000 4.3126
Tc Bi P S
1 2 1 1
Cartesian
0.0000 0.0000 0.0000
0.0000 2.7309 2.1563
2.7309 0.0000 2.1563
2.7309 2.7309 0.0000
0.0000 0.0000 2.1563
```

Computed properties:
M_tot	0.9	μB/f.u.
calculated total energy	-0.3429	Ry per atom
formation energy from raw total energies	0.868	eV/atom



Entry 2:
A plane-wave DFT calculation with PBE was carried out for a relaxed structure of Ac2NpCuSe5.

Cell and atoms, written as POSCAR:
```
Ac2NpCuSe5
1.0
2.1141 -8.8621 0.0000
2.1141 8.8621 0.0000
0.0000 0.0000 12.8614
Ac Np Cu Se
4 2 2 10
Cartesian
2.1141 6.7925 6.4307
2.1141 6.7547 10.9840
2.1141 -6.7547 4.5532
2.1141 -6.7925 0.0000
2.1141 5.6584 2.3269
2.1141 -5.6584 8.7576
2.1141 0.9730 7.4689
2.1141 -0.9730 1.0382
2.1141 8.4767 2.1898
2.1141 3.4781 10.7664
2.1141 3.3816 6.7315
2.1141 2.7442 2.2695
2.1141 0.0705 11.6968
2.1141 -0.0705 5.2661
2.1141 -2.7442 8.7002
2.1141 -3.3816 0.3008
2.1141 -3.4781 4.3357
2.1141 -8.4767 8.6205
```

Computed properties:
M_tot	3.9	μB/f.u.
calculated total energy	-0.4572	Ry per atom
formation energy from raw total energies	-1.479	eV/atom



Entry 3:
A plane-wave DFT calculation with PBE was carried out for a relaxed structure of VCr2Os.

Cell and atoms, written as POSCAR:
```
VCr2Os
1.0
0.0000 2.9438 2.9438
2.9438 0.0000 2.9438
2.9438 2.9438 0.0000
V Cr Os
1 2 1
Cartesian
0.0000 0.0000 0.0000
1.4719 1.4719 1.4719
4.4157 4.4157 4.4157
2.9438 2.9438 2.9438
```

Computed properties:
M_tot	0.0	μB/f.u.
formation energy	-0.29	eV/f.u.
calculated total energy	-0.7329	Ry per atom
ΔE to the lowest computed polymorph	0	meV/atom



Entry 4:
A plane-wave DFT calculation with PBE was carried out for a relaxed structure of NaLiCdSb.

Cell and atoms, written as POSCAR:
```
NaLiCdSb
1.0
0.0000 3.5789 3.5789
3.5789 0.0000 3.5789
3.5789 3.5789 0.0000
Na Li Cd Sb
1 1 1 1
Cartesian
0.0000 0.0000 0.0000
3.5789 3.5789 3.5789
5.3683 5.3683 5.3683
1.7894 1.7894 1.7894
```

Computed properties:
M_tot	0.0	μB/f.u.
calculated total energy	-0.1719	Ry per atom
formation energy from raw total energies	-0.271	eV/atom



Entry 5:
A plane-wave DFT calculation with PBE was carried out for a relaxed structure of Hg2GeBi2.

Cell and atoms, written as POSCAR:
```
Hg2GeBi2
1.0
7.6860 0.0000 0.0000
0.0000 7.6860 0.0000
0.0000 0.0000 4.6891
Hg Ge Bi
4 2 4
Cartesian
1.1274 2.7156 0.0000
2.7156 6.5586 0.0000
4.9704 1.1274 0.0000
6.5586 4.9704 0.0000
0.0000 0.0000 0.0000
3.8430 3.8430 0.0000
1.2040 5.0469 2.3446
2.6390 1.2040 2.3446
5.0469 6.4820 2.3446
6.4820 2.6390 2.3446
```

Computed properties:
M_tot	0.0	μB/f.u.
formation energy	1.34	eV/f.u.
calculated total energy	-0.1711	Ry per atom
ΔE to the lowest computed polymorph	66	meV/atom



Entry 6:
A plane-wave DFT calculation with PBE was carried out for a relaxed structure of Li3N.

Cell and atoms, written as POSCAR:
```
Li3N
1.0
3.6500 0.0000 0.0000
-1.8250 3.1610 0.0000
0.0000 0.0000 3.8897
Li N
3 1
Cartesian
0.0000 0.0000 0.0000
0.0000 2.1073 1.9449
1.8250 1.0537 1.9449
0.0000 0.0000 1.9449
```

Computed properties:
M_tot	0.0	μB/f.u.
calculated total energy	-0.2851	Ry per atom
ΔE to the lowest computed polymorph	0	meV/atom
formation energy from raw total energies	-0.363	eV/atom



Entry 7:
A plane-wave DFT calculation with PBE was carried out for a relaxed structure of Rb2CaSi2Se6.

Cell and atoms, written as POSCAR:
```
Rb2CaSi2Se6
1.0
3.7318 2.1545 8.1985
-3.7318 2.1545 8.1985
0.0000 -4.3091 8.1985
Rb Ca Si Se
2 1 2 6
Cartesian
0.0000 0.0000 5.4325
0.0000 0.0000 19.1629
0.0000 0.0000 0.0000
0.0000 0.0000 10.1362
0.0000 0.0000 14.4592
-1.8932 -1.0931 14.3031
0.0000 -2.1861 10.2922
-1.8932 1.0931 10.2922
1.8932 -1.0931 14.3032
0.0000 2.1861 14.3032
1.8932 1.0931 10.2922
```

Computed properties:
M_tot	0.0	μB/f.u.
calculated total energy	-0.3027	Ry per atom
formation energy from raw total energies	-0.874	eV/atom



Entry 8:
A plane-wave DFT calculation with PBE was carried out for a relaxed structure of MnIrSe.

Cell and atoms, written as POSCAR:
```
MnIrSe
1.0
4.2658 0.0000 0.0000
-2.1329 3.6943 0.0000
0.0000 0.0000 3.0375
Mn Ir Se
1 1 1
Cartesian
0.0000 0.0000 0.0000
0.0000 2.4629 1.5188
2.1329 1.2314 1.5188
```

Computed properties:
M_tot	4.1	μB/f.u.
calculated total energy	-0.5169	Ry per atom
ΔE to the lowest computed polymorph	74	meV/atom
formation energy from raw total energies	0.138	eV/atom



Entry 9:
A plane-wave DFT calculation with PBE was carried out for a relaxed structure of TeRhPb2.

Cell and atoms, written as POSCAR:
```
TeRhPb2
1.0
3.2000 -4.1140 0.0000
3.2000 4.1140 0.0000
0.0000 0.0000 3.8764
Te Rh Pb
1 1 2
Cartesian
0.0000 0.0000 0.0000
3.2000 0.0000 0.0000
1.6000 2.0570 1.9382
1.6000 -2.0570 1.9382
```

Computed properties:
M_tot	0.0	μB/f.u.
calculated total energy	-0.3145	Ry per atom
formation energy from raw total energies	0.198	eV/atom



Entry 10:
A plane-wave DFT calculation with PBE was carried out for a relaxed structure of AcLa5Dy6.

Cell and atoms, written as POSCAR:
```
AcLa5Dy6
1.0
-2.6376 5.0172 7.8763
2.6376 -5.0172 7.8763
2.6376 5.0172 -7.8763
Ac La Dy
1 5 6
Cartesian
0.0000 0.0000 0.0000
2.6376 0.0000 2.6490
0.0000 0.0000 5.2504
0.0000 5.0172 0.0000
0.0000 0.0000 10.5021
0.0000 5.0172 5.2273
2.6376 -2.4899 5.2353
2.6376 2.5457 0.0000
0.0000 2.5273 2.6410
2.6376 2.4899 5.2353
0.0000 2.4715 7.8763
0.0000 7.5072 2.6410
```

Computed properties:
M_tot	0.0	μB/f.u.
formation energy	0.33	eV/f.u.
calculated total energy	-0.3432	Ry per atom



Entry 11:
A plane-wave DFT calculation with PBE was carried out for a relaxed structure of SmDy2Th6.

Cell and atoms, written as POSCAR:
```
SmDy2Th6
1.0
5.8473 -3.5272 0.0000
5.8473 3.5272 0.0000
-5.4573 0.0000 7.4484
Sm Dy Th
1 2 6
Cartesian
0.0000 0.0000 0.0000
-1.3544 0.0000 6.5444
7.5916 0.0000 0.9041
1.4326 1.8438 4.8301
4.8047 1.8438 2.6183
2.2076 0.0000 2.2126
4.0297 0.0000 5.2359
1.4326 -1.8438 4.8301
4.8047 -1.8438 2.6183
```

Computed properties:
M_tot	0.0	μB/f.u.
formation energy	2.65	eV/f.u.
calculated total energy	-0.4556	Ry per atom



Entry 12:
A plane-wave DFT calculation with PBE was carried out for a relaxed structure of Y3Er4Tm.

Cell and atoms, written as POSCAR:
```
Y3Er4Tm
1.0
11.6670 -1.7314 0.0000
11.6670 1.7314 0.0000
-1.8599 0.0000 6.3208
Y Er Tm
3 4 1
Cartesian
0.0000 0.0000 0.0000
2.2112 0.0000 2.4057
19.2629 0.0000 3.9151
1.2908 0.0000 5.4771
5.6091 0.0000 1.6288
15.8650 0.0000 4.6920
20.1833 0.0000 0.8437
10.7370 0.0000 3.1604
```

Computed properties:
M_tot	0.0	μB/f.u.
formation energy	1.35	eV/f.u.
calculated total energy	-0.3746	Ry per atom
ΔE to the lowest computed polymorph	169	meV/atom